(1)
{"formula": "RbSnMoPb2", "functional": "GGA-PBEsol", "state": "relaxed", "magnetic_moment_mub_per_atom": 0.63, "n_ef_per_ev_cell": 5.0, "ef_ev_per_atom": 2.0359, "lattice_angstrom": [[-2.1156, -0.7147, 4.4870], [5.0571, -2.1602, 2.0403], [1.6430, 5.3886, 1.6330]], "species": ["Pb", "Rb", "Pb", "Mo", "Sn"], "fractional_positions": [[0.0000, 0.0000, 0.5000], [0.0000, 0.0000, 0.0000], [0.0000, 0.5000, 0.0000], [0.5000, 0.0000, 0.0000], [0.5000, 0.5000, 0.5000]]}

(2)
{"formula": "ReMo3Pb", "functional": "GGA-PBEsol", "state": "relaxed", "magnetic_moment_mub_per_atom": 0.07, "n_ef_per_ev_cell": 6.9, "ef_ev_per_atom": 3.2580, "lattice_angstrom": [[4.7992, 0.0000, 0.0000], [0.0000, 4.7992, 0.0000], [0.0000, 0.0000, 4.7992]], "species": ["Re", "Mo", "Pb", "Mo", "Mo"], "fractional_positions": [[0.5000, 0.5000, 0.5000], [0.5000, 0.0000, 0.0000], [0.0000, 0.0000, 0.0000], [0.0000, 0.0000, 0.5000], [0.0000, 0.5000, 0.0000]]}

(3)
{"formula": "ReMoPb2", "functional": "GGA-PBEsol", "state": "relaxed", "magnetic_moment_mub_per_atom": 0.03, "n_ef_per_ev_cell": 4.7, "ef_ev_per_atom": 1.1374, "lattice_angstrom": [[-2.8338, 1.3951, -0.8455], [0.6049, -1.3568, -4.2662], [-2.5302, -4.4913, 1.0696]], "species": ["Pb", "Mo", "Re", "Pb"], "fractional_positions": [[0.0000, 0.0000, 0.0000], [0.0000, 0.5000, 0.5000], [0.5000, 0.5000, 0.0000], [0.5000, 0.0000, 0.5000]]}

(4)
{"formula": "ReMoPb3", "functional": "GGA-PBEsol", "state": "relaxed", "magnetic_moment_mub_per_atom": 1.04, "n_ef_per_ev_cell": 2.6, "ef_ev_per_atom": 1.5129, "lattice_angstrom": [[5.2562, 0.0000, 0.0000], [0.0000, 5.2562, 0.0000], [0.0000, 0.0000, 5.2562]], "species": ["Pb", "Pb", "Mo", "Pb", "Re"], "fractional_positions": [[0.5000, 0.0000, 0.0000], [0.0000, 0.0000, 0.5000], [0.5000, 0.5000, 0.5000], [0.0000, 0.5000, 0.0000], [0.0000, 0.0000, 0.0000]]}

(5)
{"formula": "Mo2RhPb", "functional": "GGA-PBEsol", "state": "relaxed", "magnetic_moment_mub_per_atom": 0.00, "n_ef_per_ev_cell": 3.4, "ef_ev_per_atom": 0.4921, "lattice_angstrom": [[-0.9955, -2.7190, 0.2259], [4.7930, -1.7330, 0.2637], [-2.4030, 1.2395, 4.3285]], "species": ["Mo", "Mo", "Rh", "Pb"], "fractional_positions": [[0.0000, 0.5000, 0.0000], [0.0000, 0.0000, 0.5000], [0.5000, 0.5000, 0.5000], [0.5000, 0.0000, 0.0000]]}

(6)
{"formula": "MoRhPb2", "functional": "GGA-PBEsol", "state": "relaxed", "magnetic_moment_mub_per_atom": 0.00, "n_ef_per_ev_cell": 3.3, "ef_ev_per_atom": 0.4160, "lattice_angstrom": [[3.3768, 0.0000, 0.0000], [0.0000, 4.6735, 0.0000], [0.0000, 0.0000, 4.6735]], "species": ["Pb", "Pb", "Mo", "Rh"], "fractional_positions": [[0.0000, 0.0000, 0.5000], [0.0000, 0.5000, 0.0000], [0.5000, 0.0000, 0.0000], [0.5000, 0.5000, 0.5000]]}